Be2SbOs | PBE | optimized geometry

ΔE_f (raw) (meV per atom): 546
Total DFT energy (no corrections) (eV per cell): -20.62
Space group: Cmmm

a = 2.8898 Å, b = 2.8898 Å, c = 7.8403 Å
α = 90.00°, β = 90.00°, γ = 113.49°
Fractional positions:
Be 0.0000 0.0000 0.4564
Be 0.0000 0.0000 0.0436
Sb 0.5000 0.5000 0.7500
Os 0.5000 0.5000 0.2500

ZnP | PBE | optimized geometry

Total DFT energy (no corrections) (eV per cell): -40.29
Space group: Pmn2_1

a = 12.5412 Å, b = 4.1698 Å, c = 4.3067 Å
α = 90.00°, β = 90.00°, γ = 90.00°
Fractional positions:
Zn 0.1313 0.9774 0.0361
Zn 0.6313 0.0226 0.5361
Zn 0.8687 0.9774 0.0361
Zn 0.3687 0.0226 0.5361
Zn 0.5000 0.4877 0.1570
Zn 0.0000 0.5123 0.6570
P 0.2863 0.5244 0.4234
P 0.7863 0.4756 0.9234
P 0.2137 0.4756 0.9234
P 0.0000 0.0121 0.4260
P 0.5000 0.9879 0.9260
P 0.7137 0.5244 0.4234

DyPa2Mn | PBE | optimized geometry

Total DFT energy (no corrections) (eV per cell): -32.12
Space group: R-3m

a = 3.6020 Å, b = 3.6020 Å, c = 8.9131 Å
α = 78.34°, β = 78.34°, γ = 60.00°
Fractional positions:
Pa 0.2739 0.2739 0.1783
Pa 0.7261 0.7261 0.8217
Mn 0.0000 0.0000 0.0000
Dy 0.5000 0.5000 0.5000

> Among the records above, which one has the highest total DFT energy (no corrections)?

Be2SbOs

> The lowest total DFT energy (no corrections) belongs to which entry?

ZnP